The following is a DFT calculation (GGA-PBE) of a relaxed PmY2HoSc4 crystal.

Values from the calculation:
DFT formation energy: 0.439 eV per atom
Space-group type: Imma
E: -5.51 eV/atom

Unit cell a=9.1039 b=9.1039 c=11.3205 alpha=128.44 beta=128.44 gamma=88.18
Closest atoms and distances in Å follow each position.
Atoms (fractional coordinates):
Pm1 0.0000 0.5000 0.0000  6 Sc 3.16-3.27, 2 Y 3.27
Pm2 0.0000 0.5000 0.5000  6 Sc 3.16-3.27, 2 Y 3.27
Y1 0.5000 0.0000 0.0000  6 Sc 3.18-3.28, 2 Pm 3.27
Y2 0.5000 0.0000 0.5000  6 Sc 3.18-3.28, 2 Pm 3.27
Y3 0.0000 0.0000 0.5000  6 Sc 3.18-3.30, 2 Y 3.27
Y4 0.5000 0.5000 0.0000  6 Sc 3.18-3.30, 2 Y 3.27
Ho1 0.5000 0.5000 0.5000  6 Sc 3.15-3.24, 2 Ho 3.27
Ho2 0.0000 0.0000 0.0000  6 Sc 3.15-3.24, 2 Ho 3.27
Sc1 0.2476 0.7501 0.9991  1 Ho 3.15, 3 Y 3.18-3.28, 2 Sc 3.26-3.29, 2 Pm 3.26-3.27
Sc2 0.7499 0.2524 0.5009  1 Ho 3.15, 3 Y 3.18-3.28, 2 Sc 3.26-3.29, 2 Pm 3.26-3.27
Sc3 0.2501 0.7476 0.4991  1 Ho 3.15, 3 Y 3.18-3.28, 2 Sc 3.26-3.29, 2 Pm 3.26-3.27
Sc4 0.7524 0.2499 0.0009  1 Ho 3.15, 3 Y 3.18-3.28, 2 Sc 3.26-3.29, 2 Pm 3.26-3.27
Sc5 0.7508 0.7489 0.9970  1 Pm 3.16, 3 Y 3.18-3.30, 2 Ho 3.24, 2 Sc 3.27
Sc6 0.7511 0.7492 0.5030  1 Pm 3.16, 3 Y 3.18-3.30, 2 Ho 3.24, 2 Sc 3.27
Sc7 0.2489 0.2508 0.4970  1 Pm 3.16, 3 Y 3.18-3.30, 2 Ho 3.24, 2 Sc 3.27
Sc8 0.2492 0.2511 0.0030  1 Pm 3.16, 3 Y 3.18-3.30, 2 Ho 3.24, 2 Sc 3.27

---

The following is a DFT calculation (GGA-PBE) of a relaxed K3SmO3 crystal.

Values from the calculation:
Space-group type: Imma
Formation energy (no corrections): -1927 meV per atom
E: -5.20 eV/atom

Unit cell a=7.6705 b=7.6705 c=7.6562 alpha=119.95 beta=119.95 gamma=54.37
Closest atoms and distances in Å follow each position.
Atoms (fractional coordinates):
K1 0.2204 0.2204 0.4706  5 O 2.71-2.90
K2 0.2493 0.7507 0.5000  4 O 2.60-2.85
K3 0.7507 0.2493 0.5000  4 O 2.60-2.85
K4 0.2492 0.7508 0.0000  4 O 2.60-2.85
K5 0.7508 0.2492 0.0000  4 O 2.60-2.85
K6 0.7796 0.7796 0.5294  5 O 2.71-2.90
Sm1 0.2132 0.2132 0.9633  5 O 2.19-2.38
Sm2 0.7868 0.7868 0.0367  5 O 2.19-2.38
O1 0.0195 0.0195 0.7695  1 Sm 2.19
O2 0.5000 0.0000 0.2023  2 Sm 2.37-2.38
O3 0.0000 0.5000 0.2023  2 Sm 2.37-2.38
O4 0.5000 0.0000 0.7977  2 Sm 2.37-2.38
O5 0.0000 0.5000 0.7977  2 Sm 2.37-2.38
O6 0.9805 0.9805 0.2305  1 Sm 2.19

---

We obtain total magnetic moment values of 4.1, 0.0 μB/f.u. for the records listed above, in that order.